This record from OQMD via LeMat-Bulk describes an optimized crystal structure of SrHg2As. The functional is GGA-PBE.

abc: 5.2909 5.2909 5.2909
angles: 60.00 60.00 60.00
Last column: nearest neighbours and their distance in Å.
Positions (direct):
1 Sr 0.5000 0.5000 0.5000  4 Hg 3.24, 4 As 3.24
2 Hg 0.0000 0.0000 0.0000  4 As 3.24, 4 Hg 3.24
3 Hg 0.7500 0.7500 0.7500  4 Sr 3.24, 4 Hg 3.24
4 As 0.2500 0.2500 0.2500  4 Hg 3.24, 4 Sr 3.24

Values from the calculation:
* crystal system: cubic
* space group: No. 216
* total DFT energy (no corrections): -2.125 eV/atom